Record 1
# PBE Li2Mg6In, relaxed
data_Li2Mg6In
_space_group_name_H-M_alt 'P -1'
_space_group_IT_number 2
_cell_length_a 4.744
_cell_length_b 6.187
_cell_length_c 7.526
_cell_angle_alpha 83.10
_cell_angle_beta 71.85
_cell_angle_gamma 67.58
loop_
_space_group_symop_operation_xyz
'x,y,z'
'-x,-y,-z'
loop_
_atom_site_label
_atom_site_fract_x
_atom_site_fract_y
_atom_site_fract_z
Li1 0.163 0.000 0.178
Mg1 0.163 0.673 0.500
Mg2 0.168 0.318 0.841
Mg3 0.488 0.680 0.841
In1 0.500 0.000 0.500
# Magnetic moment   0.00 μB per formula unit
# E_form   -0.6 eV per formula unit
# Crystal system   triclinic
# D(E_F)   0.392 states/eV/atom
# Energy   -0.13691 Ry per atom

=====

Record 2
# PBE CrSiNiAg2, relaxed
data_CrSiNiAg2
_space_group_name_H-M_alt 'P 4/m m m'
_space_group_IT_number 123
_space_group_name_Hall '-P 4 2'
_cell_length_a 4.723
_cell_length_b 4.723
_cell_length_c 4.274
_cell_angle_alpha 90.00
_cell_angle_beta 90.00
_cell_angle_gamma 90.00
loop_
_atom_site_label
_atom_site_fract_x
_atom_site_fract_y
_atom_site_fract_z
Cr1 0.000 0.000 0.000
Si1 0.500 0.500 0.500
Ni1 0.500 0.500 0.000
Ag1 0.000 0.500 0.500
# Magnetic moment   4.24 μB per formula unit
# Crystal system   tetragonal
# E_form (uncorrected)   0.618 eV per atom
# D(E_F)   0.347 states/eV/atom
# Energy   -0.34457 Ry per atom

=====

Record 3
# PBE Zn2CoPt, relaxed
data_Zn2CoPt
_space_group_name_H-M_alt 'P m m m'
_space_group_IT_number 47
_cell_length_a 2.827
_cell_length_b 3.348
_cell_length_c 5.653
_cell_angle_alpha 90.00
_cell_angle_beta 90.00
_cell_angle_gamma 90.00
loop_
_space_group_symop_operation_xyz
'x,y,z'
'-x,-y,-z'
'-x,-y,z'
'x,y,-z'
'x,-y,-z'
'-x,y,z'
'-x,y,-z'
'x,-y,z'
loop_
_atom_site_label
_atom_site_fract_x
_atom_site_fract_y
_atom_site_fract_z
Zn1 0.000 0.000 0.233
Co1 0.500 0.500 0.000
Pt1 0.500 0.500 0.500
# Magnetic moment   0.64 μB per formula unit
# E_form   -1.0 eV per formula unit
# Crystal system   orthorhombic
# D(E_F)   0.887 states/eV/atom
# Energy   -0.30654 Ry per atom

=====

Record 4
# PBE Cu2HgPd2, relaxed
data_Cu2HgPd2
_space_group_name_H-M_alt 'I 4/m m m'
_space_group_IT_number 139
_space_group_name_Hall '-I 4 2'
_cell_length_a 3.804
_cell_length_b 3.804
_cell_length_c 11.535
_cell_angle_alpha 90.00
_cell_angle_beta 90.00
_cell_angle_gamma 90.00
loop_
_atom_site_label
_atom_site_fract_x
_atom_site_fract_y
_atom_site_fract_z
Cu1 0.000 0.000 0.101
Hg1 0.000 0.000 0.500
Pd1 0.000 0.500 0.250
# Magnetic moment   0.00 μB per formula unit
# E_form   0.9 eV per formula unit
# Crystal system   tetragonal
# D(E_F)   0.618 states/eV/atom
# Energy   -0.26408 Ry per atom

=====

Record 5
# PBE LaSc2AlCu, relaxed
data_LaSc2AlCu
_space_group_name_H-M_alt 'P 4/m m m'
_space_group_IT_number 123
_space_group_name_Hall '-P 4 2'
_cell_length_a 5.173
_cell_length_b 5.173
_cell_length_c 5.426
_cell_angle_alpha 90.00
_cell_angle_beta 90.00
_cell_angle_gamma 90.00
loop_
_atom_site_label
_atom_site_fract_x
_atom_site_fract_y
_atom_site_fract_z
La1 0.000 0.000 0.000
Sc1 0.000 0.500 0.000
Al1 0.000 0.000 0.500
Cu1 0.500 0.500 0.500
# Magnetic moment   0.00 μB per formula unit
# E_form   6.7 eV per formula unit
# Crystal system   tetragonal
# D(E_F)   0.908 states/eV/atom
# Energy   -0.27586 Ry per atom

=====

Record 6
# PBE CaLaSc2Rh, relaxed
data_CaLaSc2Rh
_space_group_name_H-M_alt 'P 4/m m m'
_space_group_IT_number 123
_space_group_name_Hall '-P 4 2'
_cell_length_a 5.251
_cell_length_b 5.251
_cell_length_c 5.496
_cell_angle_alpha 90.00
_cell_angle_beta 90.00
_cell_angle_gamma 90.00
loop_
_atom_site_label
_atom_site_fract_x
_atom_site_fract_y
_atom_site_fract_z
Ca1 0.000 0.000 0.000
La1 0.500 0.500 0.000
Sc1 0.000 0.500 0.500
Rh1 0.500 0.500 0.500
# Magnetic moment   0.00 μB per formula unit
# E_form   -1.2 eV per formula unit
# Crystal system   tetragonal
# D(E_F)   1.159 states/eV/atom
# Energy   -0.41388 Ry per atom

=====

Record 7
# PBE Nd4Ho7Tm, relaxed
data_Nd4Ho7Tm
_space_group_name_H-M_alt 'P -1'
_space_group_IT_number 2
_cell_length_a 6.543
_cell_length_b 6.831
_cell_length_c 9.075
_cell_angle_alpha 85.15
_cell_angle_beta 77.24
_cell_angle_gamma 81.87
loop_
_space_group_symop_operation_xyz
'x,y,z'
'-x,-y,-z'
loop_
_atom_site_label
_atom_site_fract_x
_atom_site_fract_y
_atom_site_fract_z
Nd1 0.140 0.310 0.284
Nd2 0.338 0.884 0.694
Ho1 0.010 0.253 0.951
Ho2 0.181 0.801 0.358
Ho3 0.313 0.394 0.618
Ho4 0.500 0.000 0.000
Tm1 0.500 0.500 0.000
# Magnetic moment   0.00 μB per formula unit
# E_form   1.1 eV per formula unit
# Crystal system   triclinic
# D(E_F)   1.555 states/eV/atom
# Energy   -0.33388 Ry per atom

=====

Record 8
# PBE BaTbPd, relaxed
data_BaTbPd
_space_group_name_H-M_alt 'I 4 m m'
_space_group_IT_number 107
_space_group_name_Hall 'I 4 -2'
_cell_length_a 3.747
_cell_length_b 3.747
_cell_length_c 13.708
_cell_angle_alpha 90.00
_cell_angle_beta 90.00
_cell_angle_gamma 90.00
loop_
_atom_site_label
_atom_site_fract_x
_atom_site_fract_y
_atom_site_fract_z
Ba1 0.000 0.000 0.000
Tb1 0.000 0.000 0.260
Pd1 0.000 0.000 0.670
# Magnetic moment   0.00 μB per formula unit
# E_form   -1.2 eV per formula unit
# Crystal system   tetragonal
# D(E_F)   0.817 states/eV/atom
# Energy   -0.31787 Ry per atom

=====

Record 9
# PBE Pr2Nd2Y3, relaxed
data_Pr2Nd2Y3
_space_group_name_H-M_alt 'C 1 2/m 1'
_space_group_IT_number 12
_cell_length_a 17.205
_cell_length_b 3.532
_cell_length_c 8.942
_cell_angle_alpha 90.00
_cell_angle_beta 116.84
_cell_angle_gamma 90.00
loop_
_space_group_symop_operation_xyz
'x,y,z'
'-x,-y,-z'
'-x,y,-z'
'x,-y,z'
'x+1/2,y+1/2,z'
'-x+1/2,-y+1/2,-z'
'-x+1/2,y+1/2,-z'
'x+1/2,-y+1/2,z'
loop_
_atom_site_label
_atom_site_fract_x
_atom_site_fract_y
_atom_site_fract_z
Pr1 0.079 0.000 0.205
Nd1 0.139 0.500 0.908
Y1 0.000 0.000 0.500
Y2 0.220 0.000 0.645
# Magnetic moment   0.00 μB per formula unit
# E_form   0.9 eV per formula unit
# Crystal system   monoclinic
# D(E_F)   1.747 states/eV/atom
# Energy   -0.39476 Ry per atom

=====

Record 10
# PBE K4Y3SnO8, relaxed
data_K4Y3SnO8
_space_group_name_H-M_alt 'R -3 m'
_space_group_IT_number 166
_space_group_name_Hall '-R 3 2"'
_cell_length_a 6.9762
_cell_length_b 6.9762
_cell_length_c 18.8017
_cell_angle_alpha 90.00
_cell_angle_beta 90.00
_cell_angle_gamma 120.00
loop_
_atom_site_label
_atom_site_fract_x
_atom_site_fract_y
_atom_site_fract_z
K1 0.0000 0.0000 0.0000
K2 0.0000 0.5000 0.0000
Y1 0.0000 0.5000 0.5000
Sn1 0.0000 0.0000 0.5000
O1 0.0000 0.0000 0.2284
O2 0.0017 0.5008 0.7707
# Magnetic moment   0.00 μB per formula unit
# Crystal system   trigonal
# E_form (uncorrected)   -2.384 eV per atom
# D(E_F)   0.107 states/eV/atom
# Energy   -0.48508 Ry per atom

=====

Record 11
# PBE TmZnAg, relaxed
data_TmZnAg
_space_group_name_H-M_alt 'P -6 m 2'
_space_group_IT_number 187
_space_group_name_Hall 'P -6 2'
_cell_length_a 4.6073
_cell_length_b 4.6073
_cell_length_c 3.3434
_cell_angle_alpha 90.00
_cell_angle_beta 90.00
_cell_angle_gamma 120.00
loop_
_atom_site_label
_atom_site_fract_x
_atom_site_fract_y
_atom_site_fract_z
Tm1 0.0000 0.0000 0.0000
Zn1 0.3333 0.6667 0.5000
Ag1 0.6667 0.3333 0.5000
# Magnetic moment   0.00 μB per formula unit
# E_form   -0.9 eV per formula unit
# Crystal system   hexagonal
# D(E_F)   0.947 states/eV/atom
# Energy   -0.23333 Ry per atom

=====

Record 12
# PBE AcAg4Hg2, relaxed
data_AcAg4Hg2
_space_group_name_H-M_alt 'I 4/m m m'
_space_group_IT_number 139
_space_group_name_Hall '-I 4 2'
_cell_length_a 8.577
_cell_length_b 8.577
_cell_length_c 5.780
_cell_angle_alpha 90.00
_cell_angle_beta 90.00
_cell_angle_gamma 90.00
loop_
_atom_site_label
_atom_site_fract_x
_atom_site_fract_y
_atom_site_fract_z
Ac1 0.000 0.000 0.000
Ag1 0.000 0.222 0.500
Hg1 0.000 0.500 0.250
# Magnetic moment   0.00 μB per formula unit
# E_form   1.4 eV per formula unit
# Crystal system   tetragonal
# D(E_F)   0.373 states/eV/atom
# Energy   -0.15468 Ry per atom

=====

Record 13
# PBE Sc2Ti2In, relaxed
data_Sc2Ti2In
_space_group_name_H-M_alt 'P 4/m b m'
_space_group_IT_number 127
_space_group_name_Hall '-P 4 2ab'
_cell_length_a 7.350
_cell_length_b 7.350
_cell_length_c 3.902
_cell_angle_alpha 90.00
_cell_angle_beta 90.00
_cell_angle_gamma 90.00
loop_
_atom_site_label
_atom_site_fract_x
_atom_site_fract_y
_atom_site_fract_z
Sc1 0.160 0.340 0.000
Ti1 0.132 0.632 0.500
In1 0.000 0.000 0.500
# Magnetic moment   0.01 μB per formula unit
# E_form   0.0 eV per formula unit
# Crystal system   tetragonal
# D(E_F)   2.893 states/eV/atom
# Energy   -0.45842 Ry per atom

=====

Record 14
# PBE Ba2SmCd3In4, relaxed
data_Ba2SmCd3In4
_space_group_name_H-M_alt 'P -4 m 2'
_space_group_IT_number 115
_cell_length_a 4.876
_cell_length_b 4.876
_cell_length_c 13.216
_cell_angle_alpha 90.00
_cell_angle_beta 90.00
_cell_angle_gamma 90.00
loop_
_space_group_symop_operation_xyz
'x,y,z'
'y,-x,-z'
'-x,-y,z'
'-y,x,-z'
'-x,y,z'
'-y,-x,-z'
'x,-y,z'
'y,x,-z'
loop_
_atom_site_label
_atom_site_fract_x
_atom_site_fract_y
_atom_site_fract_z
Ba1 0.000 0.500 0.236
Sm1 0.000 0.000 0.500
Cd1 0.000 0.500 0.867
Cd2 0.500 0.500 0.500
In1 0.000 0.000 0.000
In2 0.000 0.500 0.650
In3 0.500 0.500 0.000
# Magnetic moment   0.00 μB per formula unit
# E_form   -3.3 eV per formula unit
# Crystal system   tetragonal
# D(E_F)   0.748 states/eV/atom
# Energy   -0.18780 Ry per atom

=====

Record 15
# PBE PrInAg4, relaxed
data_PrInAg4
_space_group_name_H-M_alt 'F -4 3 m'
_space_group_IT_number 216
_space_group_name_Hall 'F -4 2 3'
_cell_length_a 8.015
_cell_length_b 8.015
_cell_length_c 8.015
_cell_angle_alpha 90.00
_cell_angle_beta 90.00
_cell_angle_gamma 90.00
loop_
_atom_site_label
_atom_site_fract_x
_atom_site_fract_y
_atom_site_fract_z
Pr1 0.000 0.000 0.000
In1 0.250 0.250 0.250
Ag1 0.125 0.125 0.625
# Magnetic moment   0.00 μB per formula unit
# E_form   -1.4 eV per formula unit
# Crystal system   cubic
# D(E_F)   0.231 states/eV/atom
# Energy   -0.24908 Ry per atom

=====

Record 16
# PBE Ge4Pd3Pt4, relaxed
data_Ge4Pd3Pt4
_space_group_name_H-M_alt 'I m m m'
_space_group_IT_number 71
_space_group_name_Hall '-I 2 2'
_cell_length_a 3.832
_cell_length_b 7.337
_cell_length_c 12.983
_cell_angle_alpha 90.00
_cell_angle_beta 90.00
_cell_angle_gamma 90.00
loop_
_atom_site_label
_atom_site_fract_x
_atom_site_fract_y
_atom_site_fract_z
Ge1 0.000 0.000 0.223
Ge2 0.000 0.187 0.500
Pd1 0.000 0.000 0.000
Pd2 0.000 0.500 0.110
Pt1 0.000 0.300 0.328
# Magnetic moment   0.00 μB per formula unit
# E_form   -3.8 eV per formula unit
# Crystal system   orthorhombic
# D(E_F)   0.432 states/eV/atom
# Energy   -0.41452 Ry per atom

=====

Record 17
# PBE ScBe2Mo, relaxed
data_ScBe2Mo
_space_group_name_H-M_alt 'F m -3 m'
_space_group_IT_number 225
_space_group_name_Hall '-F 4 2 3'
_cell_length_a 5.996
_cell_length_b 5.996
_cell_length_c 5.996
_cell_angle_alpha 90.00
_cell_angle_beta 90.00
_cell_angle_gamma 90.00
loop_
_atom_site_label
_atom_site_fract_x
_atom_site_fract_y
_atom_site_fract_z
Sc1 0.000 0.000 0.000
Be1 0.250 0.250 0.250
Mo1 0.000 0.000 0.500
# Magnetic moment   0.43 μB per formula unit
# E_form   0.4 eV per formula unit
# Crystal system   cubic
# D(E_F)   0.722 states/eV/atom
# Energy   -0.44554 Ry per atom

=====

Record 18
# PBE PrPa2Mn, relaxed
data_PrPa2Mn
_space_group_name_H-M_alt 'R -3 m'
_space_group_IT_number 166
_space_group_name_Hall '-R 3 2"'
_cell_length_a 3.6633
_cell_length_b 3.6633
_cell_length_c 26.4036
_cell_angle_alpha 90.00
_cell_angle_beta 90.00
_cell_angle_gamma 120.00
loop_
_atom_site_label
_atom_site_fract_x
_atom_site_fract_y
_atom_site_fract_z
Pr1 0.0000 0.0000 0.0000
Pa1 0.0000 0.0000 0.2234
Mn1 0.0000 0.0000 0.5000
# Magnetic moment   0.00 μB per formula unit
# E_form   0.7 eV per formula unit
# Crystal system   trigonal
# D(E_F)   2.076 states/eV/atom
# Energy   -0.59155 Ry per atom

=====

Record 19
# PBE Li2CaAlAg, relaxed
data_Li2CaAlAg
_space_group_name_H-M_alt 'P 4/m m m'
_space_group_IT_number 123
_space_group_name_Hall '-P 4 2'
_cell_length_a 5.389
_cell_length_b 5.389
_cell_length_c 5.264
_cell_angle_alpha 90.00
_cell_angle_beta 90.00
_cell_angle_gamma 90.00
loop_
_atom_site_label
_atom_site_fract_x
_atom_site_fract_y
_atom_site_fract_z
Li1 0.000 0.500 0.000
Ca1 0.000 0.000 0.000
Al1 0.500 0.500 0.500
Ag1 0.000 0.000 0.500
# Magnetic moment   0.00 μB per formula unit
# E_form   4.5 eV per formula unit
# Crystal system   tetragonal
# D(E_F)   0.689 states/eV/atom
# Energy   -0.11657 Ry per atom

=====

Record 20
# PBE PaHg2PbO8, relaxed
data_PaHg2PbO8
_space_group_name_H-M_alt 'I -4 m 2'
_space_group_IT_number 119
_space_group_name_Hall 'I -4 -2'
_cell_length_a 7.062
_cell_length_b 7.062
_cell_length_c 7.457
_cell_angle_alpha 90.00
_cell_angle_beta 90.00
_cell_angle_gamma 90.00
loop_
_atom_site_label
_atom_site_fract_x
_atom_site_fract_y
_atom_site_fract_z
Pa1 0.000 0.000 0.000
Hg1 0.000 0.000 0.500
Hg2 0.000 0.500 0.750
Pb1 0.000 0.500 0.250
O1 0.000 0.178 0.266
O2 0.000 0.314 0.987
# Magnetic moment   0.68 μB per formula unit
# Crystal system   tetragonal
# E_form (uncorrected)   -1.007 eV per atom
# D(E_F)   0.510 states/eV/atom
# Energy   -0.40152 Ry per atom